Entry from the Alexandria database: crystalline CoTeAu3 at its relaxed geometry (PBE-GGA).

Cell: 4.8085 4.8085 4.8085 Å, 90.00 90.00 90.00°
Closest atoms and distances in Å follow each position.
Space group Pm-3m (No. 221)
Inequivalent atoms, fractional coordinates:
Co 0.0000 0.0000 0.0000 x1  6 Au 2.40
Te 0.5000 0.5000 0.5000 x1  12 Au 3.40
Au 0.0000 0.0000 0.5000 x3  2 Co 2.40

Results
Formation energy without anion corrections in eV/atom: 0.71
Relative energy among the computed polymorphs in meV per atom: 0
Density of states at the Fermi level in states/eV per atom: 1.16
Calculated volume in Å³ per atom: 22.2
Raw total energy in eV/atom: -3.3102

Entry from the Alexandria database: crystalline VCoTeAu2 at its relaxed geometry (PBE-GGA).

Cell: 4.8877 4.8877 4.2250 Å, 90.00 90.00 90.00°
Closest atoms and distances in Å follow each position.
Space group P4/mmm (No. 123)
Inequivalent atoms, fractional coordinates:
V 0.0000 0.0000 0.0000 x1  2 Co 2.11
Co 0.0000 0.0000 0.5000 x1  2 V 2.11
Te 0.5000 0.5000 0.0000 x1  8 Au 3.23, 4 V 3.46
Au 0.0000 0.5000 0.5000 x2  2 Co 2.44

Results
Formation energy without anion corrections in eV/atom: 0.62
Density of states at the Fermi level in states/eV per atom: 1.30
Calculated volume in Å³ per atom: 20.2
Raw total energy in eV/atom: -4.5672